Material: Ho2ScTi
Method: DFT, PBE
State: optimized geometry

Values from the calculation:
DFT formation energy   0.1959 eV/atom
Uncorrected energy   -67.80 eV/cell
V   25.4 A^3/atom
Total moment   0.00 μB/f.u.
Relative energy among the computed polymorphs   35 meV per atom

Cell: 3.3174 3.3174 32.0320 Å, 90.00 90.00 120.00°
Space group R-3m (No. 166, hexagonal axes)
One atom of each set of equivalent atoms:
Ho: 0.0000 0.0000 0.2448 [6 per cell]
Sc: 0.0000 0.0000 0.0000 [3 per cell]
Ti: 0.0000 0.0000 0.5000 [3 per cell]